Material: LaSn2Ir
Method: DFT, PBE
State: optimized geometry

Formation energy: 0.080 eV per atom

Geometry as POSCAR:
```
LaSn2Ir
1.0
1.665 0.961 10.621
-1.665 0.961 10.621
0.000 -1.922 10.621
La Sn Ir
1 2 1
direct
0.000 0.000 0.000 La
0.104 0.104 0.104 Sn
0.896 0.896 0.896 Sn
0.500 0.500 0.500 Ir
```

---

Material: ErPa2Tc2
Method: DFT, PBE
State: optimized geometry

Formation energy: -0.173 eV per atom

Geometry as POSCAR:
```
ErPa2Tc2
1.0
3.484 0.000 0.000
0.000 5.271 0.000
-1.746 0.000 11.728
Er Pa Tc
2 4 4
direct
0.143 0.250 0.285 Er
0.857 0.750 0.715 Er
0.050 0.750 0.100 Pa
0.234 0.750 0.471 Pa
0.766 0.250 0.529 Pa
0.950 0.250 0.900 Pa
0.358 0.250 0.715 Tc
0.462 0.750 0.924 Tc
0.538 0.250 0.076 Tc
0.642 0.750 0.285 Tc
```

---

Repeat the first record exactly.
Material: LaSn2Ir
Method: DFT, PBE
State: optimized geometry

Formation energy: 0.080 eV per atom

Geometry as POSCAR:
```
LaSn2Ir
1.0
1.665 0.961 10.621
-1.665 0.961 10.621
0.000 -1.922 10.621
La Sn Ir
1 2 1
direct
0.000 0.000 0.000 La
0.104 0.104 0.104 Sn
0.896 0.896 0.896 Sn
0.500 0.500 0.500 Ir
```

---

> Which formula does entry 2 have?

ErPa2Tc2

---

> The highest formation energy belongs to which entry?

LaSn2Ir